Entry 1:
{
  "formula": "Nb2CoHg2S6",
  "functional": "PBE",
  "state": "relaxed",
  "formation_energy_uncorrected_ev_per_fu": -6.471,
  "cell": [[-1.289, -2.449, 5.185], [0.772, -3.200, -4.870], [9.236, 2.684, 1.694]],
  "species": ["Co", "S", "S", "S", "Nb", "Nb", "S", "Hg", "S", "Hg", "S"],
  "frac_coords": [[0.000, 0.000, 0.500], [0.077, 0.400, 0.652], [0.797, 0.797, 0.671], [0.923, 0.600, 0.348], [0.351, 0.649, 0.500], [0.649, 0.351, 0.500], [0.400, 0.077, 0.652], [0.250, 0.750, 0.000], [0.203, 0.203, 0.329], [0.750, 0.250, 0.000], [0.600, 0.923, 0.348]]
}


Entry 2:
{
  "formula": "SrRh2",
  "functional": "PBE",
  "state": "relaxed",
  "delta_e_f_ev_per_atom": 0.1550,
  "cell": [[-5.589, 0.493, 1.972], [-4.140, -1.082, 4.131], [-0.852, 5.726, 4.747]],
  "species": ["Rh", "Rh", "Sr", "Rh", "Sr", "Rh"],
  "frac_coords": [[0.457, 0.457, 0.702], [0.156, 0.156, 0.488], [0.845, 0.845, 0.120], [0.543, 0.543, 0.298], [0.155, 0.155, 0.880], [0.844, 0.844, 0.512]]
}


Entry 3:
{
  "formula": "Pr2Y8Sc3",
  "functional": "PBE",
  "state": "relaxed",
  "delta_e_f_ev_per_atom": 0.1974,
  "cell": [[-4.299, 1.783, -3.909], [-7.802, -2.012, 3.229], [-2.651, 7.987, 2.127]],
  "species": ["Sc", "Y", "Sc", "Y", "Y", "Y", "Y", "Y", "Pr", "Pr", "Y", "Y", "Sc"],
  "frac_coords": [[0.500, 0.000, 0.000], [0.232, 0.535, 0.535], [0.000, 0.751, 0.249], [0.768, 0.465, 0.465], [0.083, 0.850, 0.850], [0.361, 0.893, 0.411], [0.639, 0.589, 0.107], [0.639, 0.107, 0.589], [0.698, 0.724, 0.724], [0.302, 0.276, 0.276], [0.361, 0.411, 0.893], [0.917, 0.150, 0.150], [0.000, 0.249, 0.751]]
}


Table of D(E_F) (states/eV/f.u.), in record order: 4.28, 4.35, 20.99
Table of calculated total energy (eV per atom), in record order: -5.37, -5.31, -5.98